Computed, not measured: a relaxed structure of AcCr2H8 at the PBE level of DFT.

Calculated values
Theoretical density ... 6.4 g cm⁻³
V ... 88.5 Å³/f.u.
VASP energy ... -4.76 eV/atom
Magnetic moment ... 3.144 Bohr magnetons per cell

Unit cell a=4.809 b=4.640 c=4.640 alpha=121.21 beta=89.99 gamma=89.99
Each line ends with the local moment (μB).
Element x y z (fractional)
H 0.591 0.292 0.048  -0.01
Cr 0.591 0.725 0.380  1.49
H 0.842 0.056 0.592  -0.01
Ac 0.091 0.075 0.075  0.05
Cr 0.591 0.380 0.725  1.49
H 0.591 0.048 0.292  -0.01
H 0.340 0.592 0.056  -0.01
H 0.340 0.056 0.592  -0.01
H 0.818 0.575 0.575  -0.01
H 0.842 0.592 0.056  -0.01
H 0.364 0.575 0.575  -0.01

---

Computed, not measured: a relaxed structure of Sr2Dy2Pd15 at the PBE level of DFT.

Calculated values
Theoretical density ... 9.7 g cm⁻³
Formation energy ... -0.508 eV per atom
V ... 358.1 Å³/f.u.
VASP energy ... -5.27 eV/atom
Magnetic moment ... 0.000 Bohr magnetons per cell

Unit cell a=7.175 b=7.175 c=7.175 alpha=81.43 beta=81.43 gamma=81.43
Element x y z (fractional)
Pd 0.000 0.000 0.500
Pd 0.348 0.348 0.846
Sr 0.641 0.641 0.641
Pd 0.154 0.652 0.652
Pd 0.000 0.500 0.000
Pd 0.703 0.297 0.000
Pd 0.652 0.652 0.154
Pd 0.846 0.348 0.348
Pd 0.297 0.000 0.703
Dy 0.110 0.110 0.110
Pd 0.000 0.297 0.703
Pd 0.652 0.154 0.652
Dy 0.890 0.890 0.890
Pd 0.500 0.000 0.000
Pd 0.297 0.703 0.000
Sr 0.359 0.359 0.359
Pd 0.703 0.000 0.297
Pd 0.348 0.846 0.348
Pd 0.000 0.703 0.297

---

Computed, not measured: a relaxed structure of LaNiSbW2 at the PBE level of DFT.

Calculated values
Theoretical density ... 8.1 g cm⁻³
V ... 141.5 Å³/f.u.
VASP energy ... -6.11 eV/atom
Magnetic moment ... 1.088 Bohr magnetons per cell

Unit cell a=4.928 b=5.827 c=4.928 alpha=90.00 beta=90.00 gamma=90.00
Each line ends with the local moment (μB).
Element x y z (fractional)
Sb 0.000 0.000 0.000  -0.01
W 0.500 0.000 0.000  0.23
Ni 0.500 0.500 0.500  0.63
La 0.000 0.500 0.000  -0.04
W 0.000 0.000 0.500  0.27

---

Computed, not measured: a relaxed structure of KTcAs2 at the PBE level of DFT.

Calculated values
Theoretical density ... 5.2 g cm⁻³
Formation energy ... -0.125 eV per atom
V ... 92.2 Å³/f.u.
VASP energy ... -5.32 eV/atom
Magnetic moment ... 0.000 Bohr magnetons per cell

Unit cell a=4.291 b=4.291 c=7.722 alpha=68.67 beta=68.67 gamma=44.91
Element x y z (fractional)
Tc 0.303 0.303 0.031
As 0.969 0.969 0.139
K 0.536 0.536 0.499
As 0.692 0.692 0.830

---

Computed, not measured: a relaxed structure of Tb2PrNd6Ho3 at the PBE level of DFT.

Calculated values
Theoretical density ... 7.5 g cm⁻³
Formation energy ... 0.013 eV per atom
V ... 403.1 Å³/f.u.
VASP energy ... -4.68 eV/atom
Magnetic moment ... 0.000 Bohr magnetons per cell

Unit cell a=6.293 b=6.293 c=11.938 alpha=95.03 beta=95.03 gamma=119.99
Element x y z (fractional)
Nd 0.250 0.250 0.747
Nd 0.916 0.581 0.747
Ho 0.833 0.167 0.500
Pr 0.000 0.000 0.000
Nd 0.084 0.419 0.253
Tb 0.333 0.667 0.000
Ho 0.167 0.833 0.500
Nd 0.581 0.916 0.747
Nd 0.419 0.084 0.253
Nd 0.750 0.750 0.253
Ho 0.500 0.500 0.500
Tb 0.667 0.333 0.000

---

Computed, not measured: a relaxed structure of K2RePt at the PBE level of DFT.

Calculated values
Theoretical density ... 6.4 g cm⁻³
Formation energy ... 0.882 eV per atom
V ... 119.7 Å³/f.u.
VASP energy ... -4.29 eV/atom
Magnetic moment ... 0.360 Bohr magnetons per cell

Unit cell a=6.015 b=6.015 c=6.015 alpha=138.09 beta=122.60 gamma=73.56
Each line ends with the local moment (μB).
Element x y z (fractional)
K 0.023 0.023 0.000  0.00
K 0.722 0.222 0.500  0.00
Pt 0.432 0.432 0.000  0.02
Re 0.324 0.824 0.500  0.26

---

Computed, not measured: a relaxed structure of CdOs2Rh at the PBE level of DFT.

Calculated values
Theoretical density ... 16.0 g cm⁻³
Formation energy ... 0.375 eV per atom
V ... 61.7 Å³/f.u.
VASP energy ... -7.31 eV/atom
Magnetic moment ... 0.000 Bohr magnetons per cell

Unit cell a=9.463 b=9.463 c=9.463 alpha=16.80 beta=16.80 gamma=16.80
Element x y z (fractional)
Os 0.756 0.756 0.756
Rh 0.500 0.500 0.500
Os 0.244 0.244 0.244
Cd 0.000 0.000 0.000

---

Computed, not measured: a relaxed structure of YPuThTl at the PBE level of DFT.

Calculated values
Theoretical density ... 11.2 g cm⁻³
Formation energy ... 0.074 eV per atom
V ... 114.4 Å³/f.u.
VASP energy ... -7.57 eV/atom
Magnetic moment ... 6.992 Bohr magnetons per cell

Unit cell a=5.449 b=5.449 c=5.449 alpha=60.00 beta=60.00 gamma=60.00
Each line ends with the local moment (μB).
Element x y z (fractional)
Pu 0.750 0.750 0.750  5.72
Th 0.000 0.000 0.000  0.41
Tl 0.250 0.250 0.250  -0.05
Y 0.500 0.500 0.500  0.22

---

Computed, not measured: a relaxed structure of Ho2CdRe at the PBE level of DFT.

Calculated values
Theoretical density ... 11.2 g cm⁻³
Formation energy ... -0.072 eV per atom
V ... 92.8 Å³/f.u.
VASP energy ... -5.70 eV/atom
Magnetic moment ... 0.000 Bohr magnetons per cell

Unit cell a=3.476 b=3.476 c=7.676 alpha=90.00 beta=90.00 gamma=90.00
Element x y z (fractional)
Ho 0.000 0.000 0.214
Ho 0.000 0.000 0.786
Re 0.500 0.500 0.000
Cd 0.500 0.500 0.500

---

Computed, not measured: a relaxed structure of TaFeAg2 at the PBE level of DFT.

Calculated values
Theoretical density ... 11.5 g cm⁻³
Formation energy ... 0.481 eV per atom
V ... 65.5 Å³/f.u.
VASP energy ... -6.02 eV/atom
Magnetic moment ... 1.676 Bohr magnetons per cell

Unit cell a=5.171 b=5.171 c=2.760 alpha=90.00 beta=90.00 gamma=117.36
Each line ends with the local moment (μB).
Element x y z (fractional)
Fe 0.500 0.000 0.500  2.38
Ag 0.000 0.000 0.000  -0.05
Ag 0.500 0.500 0.000  -0.05
Ta 0.000 0.500 0.500  -0.38

---

Computed, not measured: a relaxed structure of AcThSnHg at the PBE level of DFT.

Calculated values
Theoretical density ... 10.4 g cm⁻³
Formation energy ... -0.382 eV per atom
V ... 124.1 Å³/f.u.
VASP energy ... -4.34 eV/atom
Magnetic moment ... 0.000 Bohr magnetons per cell

Unit cell a=5.599 b=5.599 c=5.599 alpha=60.00 beta=60.00 gamma=60.00
Element x y z (fractional)
Th 0.000 0.000 0.000
Sn 0.750 0.750 0.750
Ac 0.500 0.500 0.500
Hg 0.250 0.250 0.250

---

Computed, not measured: a relaxed structure of SrSbRhI2 at the PBE level of DFT.

Calculated values
Theoretical density ... 3.6 g cm⁻³
V ... 258.7 Å³/f.u.
VASP energy ... -2.66 eV/atom
Magnetic moment ... 4.051 Bohr magnetons per cell

Unit cell a=6.274 b=6.274 c=6.573 alpha=90.00 beta=90.00 gamma=90.00
Each line ends with the local moment (μB).
Element x y z (fractional)
Sr 0.000 0.000 0.000  0.02
I 0.500 0.000 0.000  0.08
Sb 0.000 0.000 0.500  0.74
I 0.000 0.500 0.000  0.08
Rh 0.500 0.500 0.500  1.51